[1]
This record from Alexandria via LeMat-Bulk describes a geometry-optimized Th5Sb4H structure. The functional is PBE.

```
10
Lattice="-5.661 -2.437 1.385 0.207 -6.243 4.268 -3.108 2.652 6.367" Properties=species:S:1:pos:R:3 pbc="T T T"
Th -7.568 -2.288 8.087
Th -3.287 -4.141 7.920
Th -5.208 -1.858 4.083
Th -0.927 -3.711 3.915
Th -2.677 -1.152 0.655
Sb -4.638 -1.408 7.188
Sb -6.267 -5.195 8.270
Sb -2.220 -0.801 3.731
Sb -3.850 -4.588 4.813
H -0.499 -0.215 0.122
```

Total energy (eV/atom): -6.314
DOS(E_F) (states/eV per atom): 1.0657



[2]
This record from Alexandria via LeMat-Bulk describes a geometry-optimized Pr3Al3Zn8 structure. The functional is PBE.

```
14
Lattice="4.382 0.000 0.000 2.191 8.088 0.063 2.191 2.263 7.766" Properties=species:S:1:pos:R:3 pbc="T T T"
Pr 4.382 5.176 3.914
Pr 4.382 2.011 1.521
Pr 4.382 8.340 6.308
Al 2.191 0.000 0.000
Al 2.191 6.862 1.685
Al 2.191 3.489 6.144
Zn 4.382 2.139 4.950
Zn 4.382 8.212 2.878
Zn 4.382 5.346 0.710
Zn 4.382 5.005 7.118
Zn 6.573 7.634 4.153
Zn 2.191 2.717 3.676
Zn 6.573 6.074 6.215
Zn 2.191 4.277 1.613
```

DFT formation energy (eV/atom): -0.357
Total energy (eV/atom): -2.911
DOS(E_F) (states/eV per atom): 0.4989



[3]
This record from Alexandria via LeMat-Bulk describes a geometry-optimized BeHgSb2 structure. The functional is PBE.

```
4
Lattice="-1.627 -4.623 -1.258 -2.254 -2.919 3.464 -4.962 -0.935 -0.321" Properties=species:S:1:pos:R:3 pbc="T T T"
Sb -2.211 -2.119 0.471
Sb -6.632 -6.357 1.414
Hg -4.422 -4.238 0.942
Be 0.000 0.000 0.000
```

Uncorrected formation energy (meV/atom): 618
Total energy (eV/atom): -2.451
Energy above the most stable polymorph in this dataset (meV/atom): 430.7
DOS(E_F) (states/eV per atom): 0.7359



[4]
This record from Alexandria via LeMat-Bulk describes a geometry-optimized Pm5Nd6Er2 structure. The functional is PBE.

```
26
Lattice="-2.296 -0.287 -2.821 -4.697 -9.695 4.811 -13.977 11.820 10.174" Properties=species:S:1:pos:R:3 pbc="T T T"
Pm -8.793 2.180 4.576
Pm -12.177 -0.343 7.588
Pm -5.687 -7.281 3.011
Pm -15.283 9.118 9.153
Pm -7.722 -2.617 4.193
Pm -13.248 4.455 7.971
Pm -4.735 1.691 1.323
Pm -16.235 0.147 10.841
Pm -3.497 -4.991 0.995
Pm -8.137 5.766 3.676
Nd -5.537 3.547 4.146
Nd -13.137 -1.422 10.839
Nd -4.580 -4.096 4.146
Nd -14.093 6.220 10.839
Nd -4.619 -1.668 1.571
Nd -16.351 3.506 10.594
Nd -10.080 -3.884 6.241
Nd -10.891 5.722 5.923
Nd -8.500 -0.501 6.971
Nd -10.173 2.625 8.014
Nd -1.424 0.349 1.124
Nd -17.249 1.775 13.861
Er -5.608 0.217 4.543
Er -13.066 1.908 10.442
Er -6.839 -5.575 6.136
Er -11.834 7.700 8.849
```

DFT formation energy (eV/atom): 0.093
Total energy (eV/atom): -4.637
DOS(E_F) (states/eV per atom): 1.1710



[5]
This record from Alexandria via LeMat-Bulk describes a geometry-optimized CaYPt structure. The functional is PBE.

```
3
Lattice="6.871 -0.031 0.033 5.952 3.435 0.037 0.920 0.240 3.457" Properties=species:S:1:pos:R:3 pbc="T T T"
Y 9.375 2.487 1.051
Ca 12.440 3.302 0.179
Pt 4.750 1.258 2.367
```

DFT formation energy (eV/atom): -0.756
Total energy (eV/atom): -5.591
Energy above the most stable polymorph in this dataset (meV/atom): 62.2
DOS(E_F) (states/eV per atom): 0.9157



[6]
This record from Alexandria via LeMat-Bulk describes a geometry-optimized PmSc3Pb2 structure. The functional is PBE.

```
12
Lattice="-3.026 0.486 -3.376 -2.064 -8.657 3.683 -3.128 7.679 3.910" Properties=species:S:1:pos:R:3 pbc="T T T"
Pm -7.043 0.982 3.377
Pm -1.175 -1.475 0.841
Sc -3.830 -1.188 3.263
Sc -6.539 -2.698 2.395
Sc -4.418 3.902 1.443
Sc -3.801 -4.395 2.774
Sc -1.679 2.206 1.823
Sc -4.388 0.696 0.955
Pb -6.036 -1.817 5.150
Pb -2.182 1.324 -0.932
Pb -4.243 -2.537 0.359
Pb -3.975 2.044 3.858
```

DFT formation energy (eV/atom): -0.300
Total energy (eV/atom): -5.493
DOS(E_F) (states/eV per atom): 1.0673



[7]
This record from Alexandria via LeMat-Bulk describes a geometry-optimized TaAgPt2 structure. The functional is PBE.

```
4
Lattice="2.829 0.002 0.000 -0.002 2.829 0.000 0.000 0.000 8.272" Properties=species:S:1:pos:R:3 pbc="T T T"
Ag 1.414 1.416 6.221
Pt 0.000 0.000 0.031
Pt 1.414 1.416 2.107
Ta 0.000 0.000 4.048
```

DFT formation energy (eV/atom): -0.140
Total energy (eV/atom): -6.836
DOS(E_F) (states/eV per atom): 0.5074



[8]
This record from Alexandria via LeMat-Bulk describes a geometry-optimized Ba2TmMg3Pb4 structure. The functional is PBE.

```
10
Lattice="-4.832 1.323 -1.165 -1.667 -4.536 1.762 -1.369 4.844 11.178" Properties=species:S:1:pos:R:3 pbc="T T T"
Ba -2.735 1.792 2.026
Ba -1.883 1.446 9.450
Tm -3.934 0.815 5.887
Mg -0.684 2.422 5.589
Mg -3.613 4.899 9.196
Mg -1.005 -1.662 2.280
Pb -3.249 -1.606 0.298
Pb 0.000 0.000 0.000
Pb -3.289 3.751 6.547
Pb -1.329 -0.514 4.929
```

DFT formation energy (eV/atom): -0.403
Total energy (eV/atom): -3.196
DOS(E_F) (states/eV per atom): 0.3364



[9]
This record from Alexandria via LeMat-Bulk describes a geometry-optimized CeNb2MoN4 structure. The functional is PBE.

```
16
Lattice="-1.135 0.549 -2.894 -3.950 -3.513 2.604 -5.447 8.969 3.838" Properties=species:S:1:pos:R:3 pbc="T T T"
Ce -5.139 5.971 3.149
Ce -5.392 0.034 0.400
Nb -6.342 2.518 2.966
Nb -1.998 -0.122 -0.961
Nb -4.189 3.486 0.583
Nb -8.534 6.127 4.510
Mo -7.818 4.731 2.243
Mo -2.713 1.273 1.306
N -3.065 -0.766 1.057
N -5.955 4.280 1.426
N -7.467 6.770 2.492
N -4.577 1.724 2.123
N -2.723 4.484 1.919
N 0.000 0.000 0.000
N -8.293 3.709 3.957
N -2.238 2.295 -0.408
```

Uncorrected formation energy (meV/atom): -866
Total energy (eV/atom): -9.641
DOS(E_F) (states/eV per atom): 0.5015



[10]
This record from Alexandria via LeMat-Bulk describes a geometry-optimized NbCr2SbIr structure. The functional is PBE.

```
5
Lattice="4.752 0.000 0.000 0.000 4.824 0.000 0.000 0.000 4.752" Properties=species:S:1:pos:R:3 pbc="T T T"
Sb 2.376 2.412 2.376
Nb 0.000 0.000 0.000
Ir 0.000 2.412 0.000
Cr 0.000 0.000 2.376
Cr 2.376 0.000 0.000
```

Uncorrected formation energy (meV/atom): 1276
Total energy (eV/atom): -7.184
DOS(E_F) (states/eV per atom): 0.7087



[11]
This record from Alexandria via LeMat-Bulk describes a geometry-optimized TmBe2Pt5 structure. The functional is PBE.

```
8
Lattice="-0.566 -3.533 1.387 2.329 -4.042 -4.038 5.495 -2.383 1.480" Properties=species:S:1:pos:R:3 pbc="T T T"
Tm 0.000 0.000 0.000
Be 5.290 -7.416 -0.806
Be 1.969 -2.543 -0.365
Pt 3.912 -3.212 -1.279
Pt 1.717 -4.899 -1.163
Pt 5.541 -5.059 -0.008
Pt 4.207 -5.758 -2.333
Pt 3.051 -4.201 1.162
```

DFT formation energy (eV/atom): -0.821
Total energy (eV/atom): -6.087
DOS(E_F) (states/eV per atom): 0.2484



[12]
This record from Alexandria via LeMat-Bulk describes a geometry-optimized Ta3CoPb structure. The functional is PBE.

```
5
Lattice="-0.765 -2.264 -4.458 3.715 -3.277 1.026 -3.347 -3.119 2.158" Properties=species:S:1:pos:R:3 pbc="T T T"
Pb 0.000 0.000 0.000
Co -0.199 -4.330 -0.637
Ta 1.857 -1.638 0.513
Ta -1.674 -1.559 1.079
Ta -0.383 -1.132 -2.229
```

DFT formation energy (eV/atom): 2.849
Total energy (eV/atom): -6.426
Energy above the most stable polymorph in this dataset (meV/atom): 2190.6
DOS(E_F) (states/eV per atom): 1.8681